No. 1
Rb2ThAlSe5 | GGA-PBE | relaxed Values from VASP.

Output
The crystal system is orthorhombic. For the formation energy without anion corrections, the calculation gives -1.20 eV/atom.

```
&SYSTEM
  ibrav = 0, nat = 18, ntyp = 4
/
ATOMIC_SPECIES
Rb 85.47 Rb.upf
Th 232.04 Th.upf
Al 26.98 Al.upf
Se 78.96 Se.upf
CELL_PARAMETERS angstrom
2.039 -10.594 0.000
2.039 10.594 0.000
0.000 0.000 15.050
ATOMIC_POSITIONS angstrom
Rb 2.039 7.965 7.525
Rb 2.039 7.845 13.002
Rb 2.039 -7.845 5.477
Rb 2.039 -7.965 0.000
Th 2.039 6.344 3.022
Th 2.039 -6.344 10.547
Al 2.039 1.471 8.970
Al 2.039 -1.471 1.445
Se 2.039 9.442 2.840
Se 2.039 4.106 12.523
Se 2.039 3.864 8.406
Se 2.039 3.518 2.730
Se 2.039 0.213 6.979
Se 2.039 -0.213 14.504
Se 2.039 -3.518 10.255
Se 2.039 -3.864 0.881
Se 2.039 -4.106 4.998
Se 2.039 -9.442 10.365
```

---

No. 2
Tl3TcP | GGA-PBE | relaxed Values from VASP.

Output
The crystal system is cubic. As for the energy relative to the lowest polymorph listed for this composition: 314 meV/atom.

```
&SYSTEM
  ibrav = 0, nat = 5, ntyp = 3
/
ATOMIC_SPECIES
Tl 204.38 Tl.upf
Tc 98.00 Tc.upf
P 30.97 P.upf
CELL_PARAMETERS angstrom
5.270 0.000 0.000
0.000 5.270 0.000
0.000 0.000 5.270
ATOMIC_POSITIONS angstrom
Tl 0.000 0.000 2.635
Tl 0.000 2.635 0.000
Tl 2.635 0.000 0.000
Tc 2.635 2.635 2.635
P 0.000 0.000 0.000
```

---

No. 3
HfMgSCl2 | GGA-PBE | relaxed Values from VASP.

Output
The crystal system is tetragonal. For the formation energy without anion corrections, the calculation gives -0.92 eV/atom. As for the energy relative to the lowest polymorph listed for this composition: 0 meV/atom.

```
&SYSTEM
  ibrav = 0, nat = 5, ntyp = 4
/
ATOMIC_SPECIES
Hf 178.49 Hf.upf
Mg 24.30 Mg.upf
S 32.06 S.upf
Cl 35.45 Cl.upf
CELL_PARAMETERS angstrom
5.030 0.000 0.000
0.000 5.030 0.000
0.000 0.000 4.944
ATOMIC_POSITIONS angstrom
Hf 0.000 0.000 0.000
Mg 2.515 2.515 2.472
S 0.000 0.000 2.472
Cl 0.000 2.515 0.000
Cl 2.515 0.000 0.000
```

---

no.,E_tot (eV per cell),total magnetization (Bohr magnetons per cell)
1,-82.62,1.1
2,-16.87,3.7
3,-23.95,0.6